# 1
# Fe2CuP, optimized geometry, DFT PBE-GGA
data_Fe2CuP
_cell_length_a 3.1365
_cell_length_b 4.1228
_cell_length_c 7.6608
_cell_angle_alpha 90.00
_cell_angle_beta 90.00
_cell_angle_gamma 90.00
_space_group_name_H-M_alt 'C m m 2'
_space_group_IT_number 35
_space_group_name_Hall 'C 2 -2'
loop_
_atom_site_label
_atom_site_type_symbol
_atom_site_fract_x
_atom_site_fract_y
_atom_site_fract_z
Fe1 Fe 0.0000 0.0000 0.0000
Fe2 Fe 0.0000 0.5000 0.2499
Cu1 Cu 0.0000 0.5000 0.7430
P1 P 0.0000 0.0000 0.4787
# Calculated formation energy = 0.58 eV per formula unit
# Total DFT energy (no corrections) = -0.2375 Ha/atom
# DOS at the Fermi energy = 5.25 states/eV per cell

=====

# 2
# SmHfTh2N4, optimized geometry, DFT PBE-GGA
data_SmHfTh2N4
_cell_length_a 6.1049
_cell_length_b 3.4863
_cell_length_c 6.1373
_cell_angle_alpha 90.00
_cell_angle_beta 108.94
_cell_angle_gamma 90.00
_space_group_name_H-M_alt 'P 1 2/m 1'
_space_group_IT_number 10
_space_group_name_Hall '-P 2y'
loop_
_atom_site_label
_atom_site_type_symbol
_atom_site_fract_x
_atom_site_fract_y
_atom_site_fract_z
Sm1 Sm 0.0000 0.0000 0.0000
Hf1 Hf 0.5000 0.5000 0.0000
Th1 Th 0.0000 0.5000 0.5000
Th2 Th 0.5000 0.0000 0.5000
N1 N 0.2702 0.5000 0.2331
N2 N 0.2795 0.0000 0.7780
# Total DFT energy (no corrections) = -0.3453 Ha/atom
# DOS at the Fermi energy = 2.84 states/eV per cell
# Raw formation energy = -1.5451 eV per atom

=====

# 3
# NaCeZn17, optimized geometry, DFT PBE-GGA
data_NaCeZn17
_cell_length_a 9.0473
_cell_length_b 9.0473
_cell_length_c 13.2456
_cell_angle_alpha 90.00
_cell_angle_beta 90.00
_cell_angle_gamma 120.00
_space_group_name_H-M_alt 'R 3 m'
_space_group_IT_number 160
_space_group_name_Hall 'R 3 -2"'
loop_
_atom_site_label
_atom_site_type_symbol
_atom_site_fract_x
_atom_site_fract_y
_atom_site_fract_z
Na1 Na 0.0000 0.0000 0.0000
Ce1 Ce 0.0000 0.0000 0.3207
Zn1 Zn 0.0000 0.0000 0.5587
Zn2 Zn 0.0000 0.0000 0.7602
Zn3 Zn 0.0023 0.2982 0.6584
Zn4 Zn 0.0054 0.5027 0.1566
Zn5 Zn 0.0085 0.5042 0.8112
Zn6 Zn 0.1696 0.3393 0.8399
# Calculated formation energy = -2.38 eV per formula unit
# Total DFT energy (no corrections) = -0.0605 Ha/atom
# DOS at the Fermi energy = 32.94 states/eV per cell

=====

# 4
# Cu2SeBr, optimized geometry, DFT PBE-GGA
data_Cu2SeBr
_cell_length_a 6.5909
_cell_length_b 6.5909
_cell_length_c 6.5909
_cell_angle_alpha 90.00
_cell_angle_beta 90.00
_cell_angle_gamma 90.00
_space_group_name_H-M_alt 'F m -3 m'
_space_group_IT_number 225
_space_group_name_Hall '-F 4 2 3'
loop_
_atom_site_label
_atom_site_type_symbol
_atom_site_fract_x
_atom_site_fract_y
_atom_site_fract_z
Cu1 Cu 0.2500 0.2500 0.2500
Se1 Se 0.0000 0.0000 0.0000
Br1 Br 0.0000 0.0000 0.5000
# Energy above the most stable polymorph in this dataset = 620 meV/atom
# Total DFT energy (no corrections) = -0.1071 Ha/atom
# DOS at the Fermi energy = 22.49 states/eV per cell
# Raw formation energy = 0.4237 eV per atom

=====

# 5
# YSbSe2, optimized geometry, DFT PBE-GGA
data_YSbSe2
_cell_length_a 5.3276
_cell_length_b 5.3276
_cell_length_c 17.3052
_cell_angle_alpha 90.00
_cell_angle_beta 90.00
_cell_angle_gamma 90.00
_space_group_name_H-M_alt 'I -4 2 d'
_space_group_IT_number 122
_space_group_name_Hall 'I -4 2bw'
loop_
_atom_site_label
_atom_site_type_symbol
_atom_site_fract_x
_atom_site_fract_y
_atom_site_fract_z
Y1 Y 0.0000 0.0000 0.0000
Sb1 Sb 0.0000 0.0000 0.5000
Se1 Se 0.2403 0.2500 0.1250
# Total DFT energy (no corrections) = -0.1846 Ha/atom
# DOS at the Fermi energy = 1.37 states/eV per cell
# Raw formation energy = -0.6333 eV per atom

=====

# 6
# LiBeAg2, optimized geometry, DFT PBE-GGA
data_LiBeAg2
_cell_length_a 3.8820
_cell_length_b 3.8820
_cell_length_c 17.3934
_cell_angle_alpha 90.00
_cell_angle_beta 90.00
_cell_angle_gamma 90.00
_space_group_name_H-M_alt 'I -4 2 d'
_space_group_IT_number 122
_space_group_name_Hall 'I -4 2bw'
loop_
_atom_site_label
_atom_site_type_symbol
_atom_site_fract_x
_atom_site_fract_y
_atom_site_fract_z
Li1 Li 0.0000 0.0000 0.0000
Be1 Be 0.0000 0.0000 0.5000
Ag1 Ag 0.2406 0.2500 0.6250
# Calculated formation energy = 1.31 eV per formula unit
# Total DFT energy (no corrections) = -0.0922 Ha/atom
# DOS at the Fermi energy = 4.49 states/eV per cell

=====

# 7
# Li11TiP5, optimized geometry, DFT PBE-GGA
data_Li11TiP5
_cell_length_a 13.9623
_cell_length_b 4.1318
_cell_length_c 10.3382
_cell_angle_alpha 90.00
_cell_angle_beta 118.83
_cell_angle_gamma 90.00
_space_group_name_H-M_alt 'C 1 m 1'
_space_group_IT_number 8
_space_group_name_Hall 'C -2y'
loop_
_atom_site_label
_atom_site_type_symbol
_atom_site_fract_x
_atom_site_fract_y
_atom_site_fract_z
Li1 Li 0.0000 0.0000 0.0000
Li2 Li 0.9996 0.0000 0.4951
Li3 Li 0.0752 0.5000 0.3821
Li4 Li 0.0867 0.5000 0.8808
Li5 Li 0.1752 0.0000 0.7945
Li6 Li 0.1760 0.0000 0.2842
Li7 Li 0.2211 0.0000 0.5869
Li8 Li 0.2918 0.5000 0.8161
Li9 Li 0.3944 0.0000 0.0753
Li10 Li 0.3970 0.0000 0.5372
Li11 Li 0.4216 0.5000 0.7058
Ti1 Ti 0.2953 0.5000 0.1962
P1 P 0.0978 0.5000 0.6406
P2 P 0.2041 0.0000 0.0602
P3 P 0.2860 0.5000 0.4202
P4 P 0.3947 0.0000 0.8306
P5 P 0.4749 0.5000 0.2344
# Calculated formation energy = -12.15 eV per formula unit
# Total DFT energy (no corrections) = -0.1473 Ha/atom

=====

# 8
# Tb5Sm5Tm2, optimized geometry, DFT PBE-GGA
data_Tb5Sm5Tm2
_cell_length_a 15.1737
_cell_length_b 5.0524
_cell_length_c 11.3117
_cell_angle_alpha 90.00
_cell_angle_beta 116.55
_cell_angle_gamma 90.00
_space_group_name_H-M_alt 'C 1 2/m 1'
_space_group_IT_number 12
_space_group_name_Hall '-C 2y'
loop_
_atom_site_label
_atom_site_type_symbol
_atom_site_fract_x
_atom_site_fract_y
_atom_site_fract_z
Tb1 Tb 0.0000 0.0000 0.0000
Tb2 Tb 0.0821 0.0000 0.7494
Tb3 Tb 0.1671 0.0000 0.5004
Sm1 Sm 0.0000 0.5000 0.5000
Sm2 Sm 0.1654 0.5000 0.9994
Sm3 Sm 0.2490 0.0000 0.2501
Tm1 Tm 0.0835 0.5000 0.2513
# Calculated formation energy = 0.21 eV per formula unit
# Total DFT energy (no corrections) = -0.1699 Ha/atom
# DOS at the Fermi energy = 34.06 states/eV per cell

=====

# 9
# Mn6HgPd12, optimized geometry, DFT PBE-GGA
data_Mn6HgPd12
_cell_length_a 10.0984
_cell_length_b 10.0984
_cell_length_c 9.6988
_cell_angle_alpha 90.00
_cell_angle_beta 90.00
_cell_angle_gamma 120.00
_space_group_name_H-M_alt 'R -3'
_space_group_IT_number 148
_space_group_name_Hall '-R 3'
loop_
_atom_site_label
_atom_site_type_symbol
_atom_site_fract_x
_atom_site_fract_y
_atom_site_fract_z
Mn1 Mn 0.0386 0.8187 0.0075
Hg1 Hg 0.0000 0.0000 0.5000
Pd1 Pd 0.0235 0.5760 0.1321
Pd2 Pd 0.0630 0.1843 0.7573
# Calculated formation energy = 3.60 eV per formula unit
# Total DFT energy (no corrections) = -0.2206 Ha/atom
# DOS at the Fermi energy = 38.40 states/eV per cell

=====

# 10
# LaPrAgRu, optimized geometry, DFT PBE-GGA
data_LaPrAgRu
_cell_length_a 7.3237
_cell_length_b 7.3237
_cell_length_c 7.3237
_cell_angle_alpha 90.00
_cell_angle_beta 90.00
_cell_angle_gamma 90.00
_space_group_name_H-M_alt 'F -4 3 m'
_space_group_IT_number 216
_space_group_name_Hall 'F -4 2 3'
loop_
_atom_site_label
_atom_site_type_symbol
_atom_site_fract_x
_atom_site_fract_y
_atom_site_fract_z
La1 La 0.0000 0.0000 0.0000
Pr1 Pr 0.0000 0.0000 0.5000
Ag1 Ag 0.2500 0.2500 0.2500
Ru1 Ru 0.2500 0.2500 0.7500
# Calculated formation energy = -0.74 eV per formula unit
# Total DFT energy (no corrections) = -0.2074 Ha/atom
# DOS at the Fermi energy = 9.20 states/eV per cell

=====

# 11
# Be2Ag2Au3, optimized geometry, DFT PBE-GGA
data_Be2Ag2Au3
_cell_length_a 10.7843
_cell_length_b 3.0335
_cell_length_c 7.3256
_cell_angle_alpha 90.00
_cell_angle_beta 116.93
_cell_angle_gamma 90.00
_space_group_name_H-M_alt 'C 1 2/m 1'
_space_group_IT_number 12
_space_group_name_Hall '-C 2y'
loop_
_atom_site_label
_atom_site_type_symbol
_atom_site_fract_x
_atom_site_fract_y
_atom_site_fract_z
Be1 Be 0.1756 0.0000 0.2380
Ag1 Ag 0.1542 0.0000 0.8189
Au1 Au 0.0000 0.5000 0.0000
Au2 Au 0.1142 0.5000 0.4472
# Calculated formation energy = -0.42 eV per formula unit
# Total DFT energy (no corrections) = -0.1229 Ha/atom
# DOS at the Fermi energy = 4.20 states/eV per cell

=====

# 12
# Ce4SiIr2, optimized geometry, DFT PBE-GGA
data_Ce4SiIr2
_cell_length_a 12.6861
_cell_length_b 12.7230
_cell_length_c 8.2670
_cell_angle_alpha 90.00
_cell_angle_beta 90.00
_cell_angle_gamma 90.00
_space_group_name_H-M_alt 'F d d 2'
_space_group_IT_number 43
_space_group_name_Hall 'F 2 -2d'
loop_
_atom_site_label
_atom_site_type_symbol
_atom_site_fract_x
_atom_site_fract_y
_atom_site_fract_z
Ce1 Ce 0.0586 0.1255 0.0000
Ce2 Ce 0.1250 0.1906 0.6211
Si1 Si 0.0000 0.0000 0.6855
Ir1 Ir 0.0584 0.1919 0.3104
# Total DFT energy (no corrections) = -0.2689 Ha/atom
# DOS at the Fermi energy = 127.42 states/eV per cell
# Raw formation energy = -0.6205 eV per atom

=====

# 13
# CaGaGe3, optimized geometry, DFT PBE-GGA
data_CaGaGe3
_cell_length_a 5.0042
_cell_length_b 5.0042
_cell_length_c 5.0042
_cell_angle_alpha 90.00
_cell_angle_beta 90.00
_cell_angle_gamma 90.00
_space_group_name_H-M_alt 'P m -3 m'
_space_group_IT_number 221
_space_group_name_Hall '-P 4 2 3'
loop_
_atom_site_label
_atom_site_type_symbol
_atom_site_fract_x
_atom_site_fract_y
_atom_site_fract_z
Ca1 Ca 0.0000 0.0000 0.0000
Ga1 Ga 0.5000 0.5000 0.5000
Ge1 Ge 0.0000 0.5000 0.5000
# Energy above the most stable polymorph in this dataset = 415 meV/atom
# Calculated formation energy = 0.94 eV per formula unit
# Total DFT energy (no corrections) = -0.1318 Ha/atom
# DOS at the Fermi energy = 2.56 states/eV per cell

=====

# 14
# Tm5ZnAu4, optimized geometry, DFT PBE-GGA
data_Tm5ZnAu4
_cell_length_a 3.5409
_cell_length_b 3.5409
_cell_length_c 17.7586
_cell_angle_alpha 90.00
_cell_angle_beta 90.00
_cell_angle_gamma 90.00
_space_group_name_H-M_alt 'P 4/m m m'
_space_group_IT_number 123
_space_group_name_Hall '-P 4 2'
loop_
_atom_site_label
_atom_site_type_symbol
_atom_site_fract_x
_atom_site_fract_y
_atom_site_fract_z
Tm1 Tm 0.0000 0.0000 0.0000
Tm2 Tm 0.0000 0.0000 0.2019
Tm3 Tm 0.0000 0.0000 0.4016
Zn1 Zn 0.5000 0.5000 0.5000
Au1 Au 0.5000 0.5000 0.1010
Au2 Au 0.5000 0.5000 0.3041
# Calculated formation energy = -7.90 eV per formula unit
# Total DFT energy (no corrections) = -0.1641 Ha/atom
# DOS at the Fermi energy = 4.48 states/eV per cell

=====

# 15
# BaAgP2, optimized geometry, DFT PBE-GGA
data_BaAgP2
_cell_length_a 7.2242
_cell_length_b 7.2242
_cell_length_c 7.2242
_cell_angle_alpha 90.00
_cell_angle_beta 90.00
_cell_angle_gamma 90.00
_space_group_name_H-M_alt 'F -4 3 m'
_space_group_IT_number 216
_space_group_name_Hall 'F -4 2 3'
loop_
_atom_site_label
_atom_site_type_symbol
_atom_site_fract_x
_atom_site_fract_y
_atom_site_fract_z
Ba1 Ba 0.0000 0.0000 0.0000
Ag1 Ag 0.2500 0.2500 0.2500
P1 P 0.0000 0.0000 0.5000
P2 P 0.2500 0.2500 0.7500
# Energy above the most stable polymorph in this dataset = 697 meV/atom
# Calculated formation energy = 0.85 eV per formula unit
# Total DFT energy (no corrections) = -0.1355 Ha/atom
# DOS at the Fermi energy = 8.63 states/eV per cell

=====

# 16
# PmHo2Si, optimized geometry, DFT PBE-GGA
data_PmHo2Si
_cell_length_a 4.6638
_cell_length_b 4.6638
_cell_length_c 4.6490
_cell_angle_alpha 90.00
_cell_angle_beta 90.00
_cell_angle_gamma 90.00
_space_group_name_H-M_alt 'P 4/m m m'
_space_group_IT_number 123
_space_group_name_Hall '-P 4 2'
loop_
_atom_site_label
_atom_site_type_symbol
_atom_site_fract_x
_atom_site_fract_y
_atom_site_fract_z
Pm1 Pm 0.0000 0.0000 0.0000
Ho1 Ho 0.0000 0.5000 0.5000
Si1 Si 0.5000 0.5000 0.0000
# Energy above the most stable polymorph in this dataset = 136 meV/atom
# Total DFT energy (no corrections) = -0.1867 Ha/atom
# DOS at the Fermi energy = 4.62 states/eV per cell
# Raw formation energy = -0.2474 eV per atom

=====

# 17
# DyBeCo2C, optimized geometry, DFT PBE-GGA
data_DyBeCo2C
_cell_length_a 3.6724
_cell_length_b 10.0561
_cell_length_c 6.6756
_cell_angle_alpha 90.00
_cell_angle_beta 90.00
_cell_angle_gamma 90.00
_space_group_name_H-M_alt 'C m c m'
_space_group_IT_number 63
_space_group_name_Hall '-C 2c 2'
loop_
_atom_site_label
_atom_site_type_symbol
_atom_site_fract_x
_atom_site_fract_y
_atom_site_fract_z
Dy1 Dy 0.0000 0.0515 0.2500
Be1 Be 0.0000 0.2282 0.7500
Co1 Co 0.0000 0.3292 0.0613
C1 C 0.0000 0.5000 0.0000
# Calculated formation energy = -1.32 eV per formula unit
# Total DFT energy (no corrections) = -0.2432 Ha/atom
# DOS at the Fermi energy = 19.01 states/eV per cell

=====

# 18
# ZrZn2CdTc, optimized geometry, DFT PBE-GGA
data_ZrZn2CdTc
_cell_length_a 4.6988
_cell_length_b 4.6988
_cell_length_c 5.0185
_cell_angle_alpha 90.00
_cell_angle_beta 90.00
_cell_angle_gamma 90.00
_space_group_name_H-M_alt 'P 4/m m m'
_space_group_IT_number 123
_space_group_name_Hall '-P 4 2'
loop_
_atom_site_label
_atom_site_type_symbol
_atom_site_fract_x
_atom_site_fract_y
_atom_site_fract_z
Zr1 Zr 0.0000 0.0000 0.0000
Zn1 Zn 0.0000 0.5000 0.5000
Cd1 Cd 0.5000 0.5000 0.0000
Tc1 Tc 0.5000 0.5000 0.5000
# Calculated formation energy = 3.94 eV per formula unit
# Total DFT energy (no corrections) = -0.1355 Ha/atom
# DOS at the Fermi energy = 6.15 states/eV per cell

=====

# 19
# NbCrSbTe2, optimized geometry, DFT PBE-GGA
data_NbCrSbTe2
_cell_length_a 5.4036
_cell_length_b 5.4036
_cell_length_c 5.4228
_cell_angle_alpha 90.00
_cell_angle_beta 90.00
_cell_angle_gamma 90.00
_space_group_name_H-M_alt 'P 4/m m m'
_space_group_IT_number 123
_space_group_name_Hall '-P 4 2'
loop_
_atom_site_label
_atom_site_type_symbol
_atom_site_fract_x
_atom_site_fract_y
_atom_site_fract_z
Nb1 Nb 0.0000 0.0000 0.0000
Cr1 Cr 0.5000 0.5000 0.5000
Sb1 Sb 0.0000 0.0000 0.5000
Te1 Te 0.0000 0.5000 0.0000
# Energy above the most stable polymorph in this dataset = 0 meV/atom
# Total DFT energy (no corrections) = -0.1989 Ha/atom
# DOS at the Fermi energy = 3.57 states/eV per cell
# Raw formation energy = 0.6083 eV per atom

=====

# 20
# LaNdPd2, optimized geometry, DFT PBE-GGA
data_LaNdPd2
_cell_length_a 4.1735
_cell_length_b 4.1735
_cell_length_c 21.7004
_cell_angle_alpha 90.00
_cell_angle_beta 90.00
_cell_angle_gamma 120.00
_space_group_name_H-M_alt 'R 3 m'
_space_group_IT_number 160
_space_group_name_Hall 'R 3 -2"'
loop_
_atom_site_label
_atom_site_type_symbol
_atom_site_fract_x
_atom_site_fract_y
_atom_site_fract_z
La1 La 0.0000 0.0000 0.0000
Nd1 Nd 0.0000 0.0000 0.8276
Pd1 Pd 0.0000 0.0000 0.2480
Pd2 Pd 0.0000 0.0000 0.4135
# Energy above the most stable polymorph in this dataset = 160 meV/atom
# Calculated formation energy = -2.64 eV per formula unit
# Total DFT energy (no corrections) = -0.2088 Ha/atom
# DOS at the Fermi energy = 8.86 states/eV per cell